A relaxed structure of SbTe2PbW. Source: Alexandria via LeMat-Bulk, functional PBE.

Unit cell a=5.3895 b=5.3895 c=5.2737 alpha=90.00 beta=90.00 gamma=90.00
Fractional positions:
Sb: 0.0000 0.0000 0.5000
Pb: 0.5000 0.5000 0.5000
Te: 0.5000 0.0000 0.0000
Te: 0.0000 0.5000 0.0000
W: 0.0000 0.0000 0.0000

## Properties
The calculation puts the total magnetization at 0.38 μB/f.u. The formation energy without anion corrections is 0.557 eV/atom. The value obtained for the density of states at the Fermi level is 1.18 states/eV per atom.